(1)
Below is Mg2ZrCdH after structural relaxation, with properties calculated at the GGA-PBE level.

Output
As for the space group: P4/mmm.

Cell lengths 4.495, 4.495, 4.242 Å; angles 90.00, 90.00, 90.00 degrees
Fractional coordinates of all 5 atoms:
H1 0.000 0.000 0.000
Mg1 0.000 0.500 0.000
Mg2 0.500 0.000 0.000
Zr1 0.000 0.000 0.500
Cd1 0.500 0.500 0.500

(2)
Below is Ba2FePb after structural relaxation, with properties calculated at the GGA-PBE level.

Output
As for the space group: P4mm. For the energy above the lowest structure with this stoichiometry, the calculation gives 0.166 eV/atom.

Cell lengths 3.887, 3.887, 9.776 Å; angles 90.00, 90.00, 90.00 degrees
Last column: magnetic moment on the atom in μB.
Fractional coordinates of all 4 atoms:
Ba1 0.000 0.000 0.925  -0.01
Ba2 0.500 0.500 0.326  -0.09
Fe1 0.000 0.000 0.577  2.74
Pb1 0.500 0.500 0.672  -0.06

(3)
Below is Sb3HRh after structural relaxation, with properties calculated at the GGA-PBE level.

Output
As for the space group: Pm-3m. For the energy above the lowest structure with this stoichiometry, the calculation gives 0.265 eV/atom.

Cell lengths 5.146, 5.146, 5.146 Å; angles 90.00, 90.00, 90.00 degrees
Fractional coordinates of all 5 atoms:
Sb1 0.000 0.500 0.000
Sb2 0.000 0.000 0.500
Sb3 0.500 0.000 0.000
Rh1 0.000 0.000 0.000
H1 0.500 0.500 0.500

(4)
Below is AcTcC after structural relaxation, with properties calculated at the GGA-PBE level.

Output
As for the space group: I4mm. For the energy above the lowest structure with this stoichiometry, the calculation gives 0.686 eV/atom.

Cell lengths 3.103, 3.103, 5.648 Å; angles 105.94, 105.94, 90.00 degrees
Fractional coordinates of all 3 atoms:
C1 0.714 0.714 0.429
Ac1 0.007 0.007 0.013
Tc1 0.279 0.279 0.558

(5)
Below is SbWI2Cl after structural relaxation, with properties calculated at the GGA-PBE level.

Output
As for the space group: P4/mmm. Its raw formation energy is 45 kJ/mol of atoms. For the energy above the lowest structure with this stoichiometry, the calculation gives 0.000 eV/atom.

Cell lengths 5.394, 5.394, 5.330 Å; angles 90.00, 90.00, 90.00 degrees
Fractional coordinates of all 5 atoms:
I1 0.000 0.500 0.000
I2 0.500 0.000 0.000
Sb1 0.000 0.000 0.500
W1 0.000 0.000 0.000
Cl1 0.500 0.500 0.500

(6)
Below is LaSe2Cl after structural relaxation, with properties calculated at the GGA-PBE level.

Output
As for the space group: P4mm. Its raw formation energy is -112 kJ/mol of atoms. For the energy above the lowest structure with this stoichiometry, the calculation gives 0.367 eV/atom.

Cell lengths 3.893, 3.892, 7.543 Å; angles 90.00, 90.00, 90.00 degrees
Fractional coordinates of all 4 atoms:
Cl1 0.000 0.000 0.574
La1 0.500 0.500 0.763
Se1 0.000 0.000 0.037
Se2 0.500 0.500 0.125

The following mass density values (in g/cm³) correspond, in order, to the records above: 4.91 6.04 5.72 11.17 6.37 4.83.
The following total moment values (in μB/cell) correspond, in order, to the records above: 0.00 2.43 0.00 0.00 0.00 0.00.
The following DFT total energy values (in eV per formula unit) correspond, in order, to the records above: -16.724 -14.976 -19.328 -21.640 -19.667 -18.370.